No. 1
meta-GGA SCAN RuW4, single point on PBEsol structure; volume = 77 Å³ per cell; DFT formation energy = 119 meV per atom; magnetic moment = 0.00 μB per cell; raw total energy = -62.5966 eV/atom
1.0
3.1200 0.0000 0.0000
1.5600 4.9531 0.0000
1.5600 0.0000 4.9531
Ru W
1 4
Direct
0.0000 0.0000 0.0000
0.1963 0.4093 0.1981
0.3944 0.8019 0.4093
0.8037 0.5907 0.8019
0.6056 0.1981 0.5907

---

No. 2
meta-GGA SCAN TaIn2Rh, single point on PBEsol structure; volume = 71 Å³ per cell; DFT formation energy = 59 meV per atom; magnetic moment = 0.00 μB per cell; raw total energy = -41.7229 eV/atom
1.0
-0.1507 3.0164 -0.3331
-4.7885 -0.2996 -0.5470
-0.5759 0.4978 4.7686
Rh Ta In
1 1 2
Direct
0.5000 0.5000 0.5000
0.5000 0.0000 0.0000
0.0000 0.5000 0.0000
0.0000 0.0000 0.5000